Entry 1:
# PBE KSe2Br, optimized geometry
data_KSe2Br
_symmetry_space_group_name_H-M 'F -4 3 m'
_symmetry_Int_Tables_number 216
_symmetry_space_group_name_Hall 'F -4 2 3'
_cell_length_a 7.5725
_cell_length_b 7.5725
_cell_length_c 7.5725
_cell_angle_alpha 90.00
_cell_angle_beta 90.00
_cell_angle_gamma 90.00
loop_
_atom_site_label
_atom_site_type_symbol
_atom_site_fract_x
_atom_site_fract_y
_atom_site_fract_z
K1 K 0.0000 0.0000 0.0000
Se1 Se 0.0000 0.0000 0.5000
Se2 Se 0.2500 0.2500 0.2500
Br1 Br 0.2500 0.2500 0.7500
# Relative energy among the computed polymorphs: 623.2 meV/atom
# DOS(E_F): 19.2 states/eV per cell

Entry 2:
# PBE NbBO, optimized geometry
data_NbBO
_symmetry_space_group_name_H-M 'I m m m'
_symmetry_Int_Tables_number 71
_symmetry_space_group_name_Hall '-I 2 2'
_cell_length_a 3.2026
_cell_length_b 3.5887
_cell_length_c 11.3795
_cell_angle_alpha 90.00
_cell_angle_beta 90.00
_cell_angle_gamma 90.00
loop_
_atom_site_label
_atom_site_type_symbol
_atom_site_fract_x
_atom_site_fract_y
_atom_site_fract_z
Nb1 Nb 0.0000 0.0000 0.1356
B1 B 0.0000 0.2524 0.5000
O1 O 0.0000 0.5000 0.2214
# DOS(E_F): 2.7 states/eV per cell
# VASP energy: -0.6142 Ry per atom

Entry 3:
# PBE LaEr2Ga2Pt7, optimized geometry
data_LaEr2Ga2Pt7
_symmetry_space_group_name_H-M 'C 1 2/m 1'
_symmetry_Int_Tables_number 12
_cell_length_a 5.8018
_cell_length_b 5.7258
_cell_length_c 14.2939
_cell_angle_alpha 90.00
_cell_angle_beta 100.02
_cell_angle_gamma 90.00
loop_
_symmetry_equiv_pos_as_xyz
'x,y,z'
'-x,-y,-z'
'-x,y,-z'
'x,-y,z'
'x+1/2,y+1/2,z'
'-x+1/2,-y+1/2,-z'
'-x+1/2,y+1/2,-z'
'x+1/2,-y+1/2,z'
loop_
_atom_site_label
_atom_site_type_symbol
_atom_site_fract_x
_atom_site_fract_y
_atom_site_fract_z
La1 La 0.0000 0.0000 0.0000
Er1 Er 0.1358 0.0000 0.3622
Ga1 Ga 0.1137 0.5000 0.2649
Pt1 Pt 0.0000 0.5000 0.0000
Pt2 Pt 0.1488 0.5000 0.4364
Pt3 Pt 0.1797 0.2501 0.8371
# Formation enthalpy at 0 K: -0.92 eV per atom
# DOS(E_F): 6.3 states/eV per cell

Entry 4:
# PBE Na8Bi2O, optimized geometry
data_Na8Bi2O
_symmetry_space_group_name_H-M 'C 1 2/m 1'
_symmetry_Int_Tables_number 12
_cell_length_a 18.3385
_cell_length_b 5.3188
_cell_length_c 6.3895
_cell_angle_alpha 90.00
_cell_angle_beta 110.19
_cell_angle_gamma 90.00
loop_
_symmetry_equiv_pos_as_xyz
'x,y,z'
'-x,-y,-z'
'-x,y,-z'
'x,-y,z'
'x+1/2,y+1/2,z'
'-x+1/2,-y+1/2,-z'
'-x+1/2,y+1/2,-z'
'x+1/2,-y+1/2,z'
loop_
_atom_site_label
_atom_site_type_symbol
_atom_site_fract_x
_atom_site_fract_y
_atom_site_fract_z
Na1 Na 0.0009 0.0000 0.2337
Na2 Na 0.0979 0.5000 0.8506
Na3 Na 0.1054 0.5000 0.3307
Na4 Na 0.2259 0.0000 0.2191
Bi1 Bi 0.1604 0.0000 0.6575
O1 O 0.0000 0.5000 0.0000
# DOS(E_F): 2.5 states/eV per cell
# VASP energy: -0.1948 Ry per atom

Entry 5:
# PBE TaCoSn2Sb, optimized geometry
data_TaCoSn2Sb
_symmetry_space_group_name_H-M 'P 4/m m m'
_symmetry_Int_Tables_number 123
_symmetry_space_group_name_Hall '-P 4 2'
_cell_length_a 4.8082
_cell_length_b 4.8082
_cell_length_c 4.8643
_cell_angle_alpha 90.00
_cell_angle_beta 90.00
_cell_angle_gamma 90.00
loop_
_atom_site_label
_atom_site_type_symbol
_atom_site_fract_x
_atom_site_fract_y
_atom_site_fract_z
Ta1 Ta 0.0000 0.0000 0.0000
Co1 Co 0.0000 0.0000 0.5000
Sn1 Sn 0.0000 0.5000 0.5000
Sb1 Sb 0.5000 0.5000 0.0000
# DOS(E_F): 3.2 states/eV per cell
# VASP energy: -0.4264 Ry per atom

Entry 6:
# PBE HoTa4Ru5, optimized geometry
data_HoTa4Ru5
_symmetry_space_group_name_H-M 'P 4/m m m'
_symmetry_Int_Tables_number 123
_symmetry_space_group_name_Hall '-P 4 2'
_cell_length_a 3.1372
_cell_length_b 3.1372
_cell_length_c 17.0545
_cell_angle_alpha 90.00
_cell_angle_beta 90.00
_cell_angle_gamma 90.00
loop_
_atom_site_label
_atom_site_type_symbol
_atom_site_fract_x
_atom_site_fract_y
_atom_site_fract_z
Ho1 Ho 0.0000 0.0000 0.0000
Ta1 Ta 0.0000 0.0000 0.2085
Ta2 Ta 0.0000 0.0000 0.4034
Ru1 Ru 0.5000 0.5000 0.1238
Ru2 Ru 0.5000 0.5000 0.3099
Ru3 Ru 0.5000 0.5000 0.5000
# Formation enthalpy at 0 K: -0.38 eV per atom
# DOS(E_F): 7.6 states/eV per cell

- Which value of DOS(E_F) does entry 2 give?
  2.7 states/eV per cell

- What is the DOS(E_F) in the fourth record?
  2.5 states/eV per cell

- Which value of DOS(E_F) does entry 2 give?
  2.7 states/eV per cell

- Among the records above, which one has the highest DOS(E_F)?
  KSe2Br